[1]
First-principles (GGA-PBE) data for a geometry-optimized ReSbBr2N structure, as listed in the Alexandria database.

Lattice parameters (Å, degrees): 5.3803 5.3803 3.7612 90.00 90.00 90.00
Last column: nearest neighbours and their distance in Å.
Space group P4/mmm (No. 123)
Asymmetric unit:
Re (0.0000, 0.0000, 0.0000)  2 N 1.88
Sb (0.5000, 0.5000, 0.5000)  8 Br 3.28
Br (0.0000, 0.5000, 0.0000)  2 Re 2.69
N (0.0000, 0.0000, 0.5000)  2 Re 1.88



[2]
First-principles (GGA-PBE) data for a geometry-optimized ReSeBrN2 structure, as listed in the Alexandria database.

Lattice parameters (Å, degrees): 3.8677 3.8677 5.5853 90.00 90.00 90.00
Last column: nearest neighbours and their distance in Å.
Space group P4/mmm (No. 123)
Asymmetric unit:
Re (0.0000, 0.0000, 0.0000)  4 N 1.93
Se (0.0000, 0.0000, 0.5000)  4 Br 2.73, 2 Re 2.79
Br (0.5000, 0.5000, 0.5000)  4 Se 2.73
N (0.0000, 0.5000, 0.0000)  2 Re 1.93



[3]
First-principles (GGA-PBE) data for a geometry-optimized ReSeBrN2 structure, as listed in the Alexandria database.

Lattice parameters (Å, degrees): 3.7742 3.7742 6.8845 90.00 90.00 90.00
Last column: nearest neighbours and their distance in Å.
Space group P4/mmm (No. 123)
Asymmetric unit:
Re (0.0000, 0.0000, 0.0000)  4 Se 2.67
Se (0.5000, 0.5000, 0.0000)  4 Re 2.67
Br (0.5000, 0.5000, 0.5000)  4 N 1.89
N (0.0000, 0.5000, 0.5000)  2 Br 1.89



[4]
First-principles (GGA-PBE) data for a geometry-optimized ReTeBrN2 structure, as listed in the Alexandria database.

Lattice parameters (Å, degrees): 3.8995 3.8995 7.1358 90.00 90.00 90.00
Last column: nearest neighbours and their distance in Å.
Space group P4/mmm (No. 123)
Asymmetric unit:
Re (0.0000, 0.0000, 0.0000)  4 Te 2.76
Te (0.5000, 0.5000, 0.0000)  4 Re 2.76
Br (0.5000, 0.5000, 0.5000)  4 N 1.95
N (0.0000, 0.5000, 0.5000)  2 Br 1.95



[5]
First-principles (GGA-PBE) data for a geometry-optimized ReTeBrN2 structure, as listed in the Alexandria database.

Lattice parameters (Å, degrees): 3.9389 3.9389 5.7967 90.00 90.00 90.00
Last column: nearest neighbours and their distance in Å.
Space group P4/mmm (No. 123)
Asymmetric unit:
Re (0.0000, 0.0000, 0.0000)  4 N 1.97
Te (0.0000, 0.0000, 0.5000)  4 Br 2.79, 2 Re 2.90
Br (0.5000, 0.5000, 0.5000)  4 Te 2.79
N (0.0000, 0.5000, 0.0000)  2 Re 1.97



[6]
First-principles (GGA-PBE) data for a geometry-optimized Ti2ReBrN structure, as listed in the Alexandria database.

Lattice parameters (Å, degrees): 4.8196 4.8196 4.6652 90.00 90.00 90.00
Last column: nearest neighbours and their distance in Å.
Space group P4/mmm (No. 123)
Asymmetric unit:
Ti (0.0000, 0.5000, 0.0000)  2 Re 2.41
Re (0.0000, 0.0000, 0.0000)  2 Br 2.33, 4 Ti 2.41
Br (0.0000, 0.0000, 0.5000)  2 Re 2.33
N (0.5000, 0.5000, 0.5000)  8 Ti 3.35, 4 Br 3.41



Electronic total energy, record by record: -5.078; -6.298; -4.220; -4.111; -6.217; -5.889 eV per atom
ΔE_f (raw), record by record: 2.9; 2.8; 13.2; 13.4; 2.8; 8.8 eV/f.u.
Magnetic moment, record by record: 0.00; 0.00; 4.21; 4.24; 0.00; 0.00 Bohr magnetons per cell